Version 1
# TbYBr2NCl, relaxed, DFT PBE
data_TbYBr2NCl
_chemical_formula_sum 'Tb2 Y2 Br4 N2 Cl2'
_cell_length_a 9.186
_cell_length_b 9.186
_cell_length_c 11.440
_cell_angle_alpha 123.53
_cell_angle_beta 123.53
_cell_angle_gamma 24.37
_symmetry_space_group_name_H-M 'P 1'
_symmetry_Int_Tables_number 1
_symmetry_space_group_name_Hall 'P 1'
loop_
_atom_site_label
_atom_site_type_symbol
_atom_site_fract_x
_atom_site_fract_y
_atom_site_fract_z
Tb1 Tb 0.135 0.135 0.287
Tb2 Tb 0.865 0.865 0.713
Y1 Y 0.423 0.423 0.038
Y2 Y 0.577 0.577 0.962
Br1 Br 0.043 0.043 0.748
Br2 Br 0.332 0.332 0.484
Br3 Br 0.668 0.668 0.516
Br4 Br 0.957 0.957 0.252
N1 N 0.426 0.426 0.845
N2 N 0.574 0.574 0.155
Cl1 Cl 0.205 0.205 0.115
Cl2 Cl 0.795 0.795 0.885
# M_tot: 0.0 Bohr magnetons per cell



Version 2
# TbYBr2NCl, relaxed, DFT PBE
data_TbYBr2NCl
_chemical_formula_sum 'Tb2 Y2 Br4 N2 Cl2'
_cell_length_a 9.422
_cell_length_b 9.422
_cell_length_c 11.572
_cell_angle_alpha 125.41
_cell_angle_beta 125.41
_cell_angle_gamma 23.64
_symmetry_space_group_name_H-M 'P 1'
_symmetry_Int_Tables_number 1
_symmetry_space_group_name_Hall 'P 1'
loop_
_atom_site_label
_atom_site_type_symbol
_atom_site_fract_x
_atom_site_fract_y
_atom_site_fract_z
Tb1 Tb 0.139 0.139 0.292
Tb2 Tb 0.861 0.861 0.708
Y1 Y 0.426 0.426 0.040
Y2 Y 0.574 0.574 0.960
Br1 Br 0.034 0.034 0.743
Br2 Br 0.217 0.217 0.124
Br3 Br 0.783 0.783 0.876
Br4 Br 0.966 0.966 0.257
N1 N 0.424 0.424 0.843
N2 N 0.576 0.576 0.157
Cl1 Cl 0.325 0.325 0.494
Cl2 Cl 0.675 0.675 0.506
# M_tot: 0.0 Bohr magnetons per cell



Version 3
# TbYBr2NCl, relaxed, DFT PBE
data_TbYBr2NCl
_chemical_formula_sum 'Tb2 Y2 Br4 N2 Cl2'
_cell_length_a 9.303
_cell_length_b 9.303
_cell_length_c 11.451
_cell_angle_alpha 124.88
_cell_angle_beta 124.88
_cell_angle_gamma 23.96
_symmetry_space_group_name_H-M 'P 1'
_symmetry_Int_Tables_number 1
_symmetry_space_group_name_Hall 'P 1'
loop_
_atom_site_label
_atom_site_type_symbol
_atom_site_fract_x
_atom_site_fract_y
_atom_site_fract_z
Tb1 Tb 0.076 0.076 0.459
Tb2 Tb 0.924 0.924 0.541
Y1 Y 0.362 0.362 0.209
Y2 Y 0.638 0.638 0.791
Br1 Br 0.280 0.280 0.376
Br2 Br 0.465 0.465 0.760
Br3 Br 0.535 0.535 0.240
Br4 Br 0.720 0.720 0.624
N1 N 0.076 0.076 0.656
N2 N 0.924 0.924 0.344
Cl1 Cl 0.175 0.175 0.007
Cl2 Cl 0.825 0.825 0.993
# M_tot: 0.0 Bohr magnetons per cell



The structure with the most favorable energy is version 1; the runner-up is 0.007 eV/atom above it.



Version 1
# NbBrCl2O, relaxed, DFT PBE
data_NbBrCl2O
_chemical_formula_sum 'Nb2 Br2 Cl4 O2'
_cell_length_a 7.076
_cell_length_b 7.076
_cell_length_c 11.720
_cell_angle_alpha 119.84
_cell_angle_beta 119.84
_cell_angle_gamma 32.57
_symmetry_space_group_name_H-M 'P 1'
_symmetry_Int_Tables_number 1
_symmetry_space_group_name_Hall 'P 1'
loop_
_atom_site_label
_atom_site_type_symbol
_atom_site_fract_x
_atom_site_fract_y
_atom_site_fract_z
Nb1 Nb 0.123 0.123 0.191
Nb2 Nb 0.877 0.877 0.809
Br1 Br 0.049 0.159 0.387
Br2 Br 0.841 0.951 0.613
Cl1 Cl 0.033 0.159 0.959
Cl2 Cl 0.264 0.374 0.282
Cl3 Cl 0.626 0.736 0.718
Cl4 Cl 0.841 0.967 0.041
O1 O 0.340 0.432 0.822
O2 O 0.568 0.660 0.178
# M_tot: 0.0 Bohr magnetons per cell



Version 2
# NbBrCl2O, relaxed, DFT PBE
data_NbBrCl2O
_chemical_formula_sum 'Nb2 Br2 Cl4 O2'
_cell_length_a 6.930
_cell_length_b 6.930
_cell_length_c 11.561
_cell_angle_alpha 118.04
_cell_angle_beta 118.04
_cell_angle_gamma 32.36
_symmetry_space_group_name_H-M 'P 1'
_symmetry_Int_Tables_number 1
_symmetry_space_group_name_Hall 'P 1'
loop_
_atom_site_label
_atom_site_type_symbol
_atom_site_fract_x
_atom_site_fract_y
_atom_site_fract_z
Nb1 Nb 0.118 0.118 0.189
Nb2 Nb 0.882 0.882 0.811
Br1 Br 0.095 0.095 0.387
Br2 Br 0.905 0.905 0.613
Cl1 Cl 0.103 0.103 0.959
Cl2 Cl 0.316 0.316 0.285
Cl3 Cl 0.684 0.684 0.715
Cl4 Cl 0.897 0.897 0.041
O1 O 0.395 0.395 0.829
O2 O 0.605 0.605 0.171
# M_tot: 0.0 Bohr magnetons per cell



The structure with the most favorable energy is version 1; the runner-up is 0.012 eV/atom above it.



Version 1
# NdBrCl2, relaxed, DFT PBE
data_NdBrCl2
_chemical_formula_sum 'Nd2 Br2 Cl4'
_cell_length_a 7.437
_cell_length_b 4.299
_cell_length_c 7.687
_cell_angle_alpha 90.00
_cell_angle_beta 117.58
_cell_angle_gamma 90.00
_symmetry_space_group_name_H-M 'P 1'
_symmetry_Int_Tables_number 1
_symmetry_space_group_name_Hall 'P 1'
loop_
_atom_site_label
_atom_site_type_symbol
_atom_site_fract_x
_atom_site_fract_y
_atom_site_fract_z
Nd1 Nd 0.171 0.250 0.338
Nd2 Nd 0.829 0.750 0.662
Br1 Br 0.216 0.750 0.080
Br2 Br 0.784 0.250 0.920
Cl1 Cl 0.102 0.250 0.686
Cl2 Cl 0.405 0.750 0.597
Cl3 Cl 0.595 0.250 0.403
Cl4 Cl 0.898 0.750 0.314
# M_tot: 0.0 Bohr magnetons per cell



Version 2
# NdBrCl2, relaxed, DFT PBE
data_NdBrCl2
_chemical_formula_sum 'Nd2 Br2 Cl4'
_cell_length_a 7.572
_cell_length_b 4.291
_cell_length_c 7.648
_cell_angle_alpha 90.00
_cell_angle_beta 119.01
_cell_angle_gamma 90.00
_symmetry_space_group_name_H-M 'P 1'
_symmetry_Int_Tables_number 1
_symmetry_space_group_name_Hall 'P 1'
loop_
_atom_site_label
_atom_site_type_symbol
_atom_site_fract_x
_atom_site_fract_y
_atom_site_fract_z
Nd1 Nd 0.000 0.000 0.000
Nd2 Nd 0.330 0.500 0.669
Br1 Br 0.026 0.000 0.415
Br2 Br 0.579 0.000 0.611
Cl1 Cl 0.263 0.500 0.240
Cl2 Cl 0.364 0.000 0.941
Cl3 Cl 0.745 0.500 0.015
Cl4 Cl 0.981 0.500 0.738
# M_tot: 0.0 Bohr magnetons per cell



The structure with the most favorable energy is version 1; the runner-up is 0.005 eV/atom above it.



Version 1
# RbTaBr4Cl2, relaxed, DFT PBE
data_RbTaBr4Cl2
_chemical_formula_sum 'Rb2 Ta2 Br8 Cl4'
_cell_length_a 19.145
_cell_length_b 19.145
_cell_length_c 3.499
_cell_angle_alpha 90.17
_cell_angle_beta 90.17
_cell_angle_gamma 135.14
_symmetry_space_group_name_H-M 'P 1'
_symmetry_Int_Tables_number 1
_symmetry_space_group_name_Hall 'P 1'
loop_
_atom_site_label
_atom_site_type_symbol
_atom_site_fract_x
_atom_site_fract_y
_atom_site_fract_z
Rb1 Rb 0.072 0.928 0.000
Rb2 Rb 0.928 0.072 0.000
Ta1 Ta 0.000 0.500 0.500
Ta2 Ta 0.500 0.000 0.500
Br1 Br 0.012 0.409 0.999
Br2 Br 0.059 0.283 0.507
Br3 Br 0.283 0.059 0.507
Br4 Br 0.409 0.012 0.999
Br5 Br 0.591 0.988 0.001
Br6 Br 0.717 0.941 0.493
Br7 Br 0.941 0.717 0.493
Br8 Br 0.988 0.591 0.001
Cl1 Cl 0.139 0.200 0.510
Cl2 Cl 0.200 0.139 0.510
Cl3 Cl 0.800 0.861 0.490
Cl4 Cl 0.861 0.800 0.490
# M_tot: 4.5 Bohr magnetons per cell



Version 2
# RbTaBr4Cl2, relaxed, DFT PBE
data_RbTaBr4Cl2
_chemical_formula_sum 'Rb2 Ta2 Br8 Cl4'
_cell_length_a 15.910
_cell_length_b 15.910
_cell_length_c 9.384
_cell_angle_alpha 90.49
_cell_angle_beta 90.49
_cell_angle_gamma 161.22
_symmetry_space_group_name_H-M 'P 1'
_symmetry_Int_Tables_number 1
_symmetry_space_group_name_Hall 'P 1'
loop_
_atom_site_label
_atom_site_type_symbol
_atom_site_fract_x
_atom_site_fract_y
_atom_site_fract_z
Rb1 Rb 0.079 0.921 0.000
Rb2 Rb 0.921 0.079 0.000
Ta1 Ta 0.000 0.500 0.500
Ta2 Ta 0.500 0.000 0.500
Br1 Br 0.045 0.231 0.612
Br2 Br 0.191 0.782 0.313
Br3 Br 0.218 0.809 0.687
Br4 Br 0.231 0.045 0.612
Br5 Br 0.769 0.955 0.388
Br6 Br 0.782 0.191 0.313
Br7 Br 0.809 0.218 0.687
Br8 Br 0.955 0.769 0.388
Cl1 Cl 0.368 0.585 0.830
Cl2 Cl 0.415 0.632 0.170
Cl3 Cl 0.585 0.368 0.830
Cl4 Cl 0.632 0.415 0.170
# M_tot: 0.7 Bohr magnetons per cell



The structure with the most favorable energy is version 2; the runner-up is 0.216 eV/atom above it.



Version 1
# UBr2Cl, relaxed, DFT PBE
data_UBr2Cl
_chemical_formula_sum 'U2 Br4 Cl2'
_cell_length_a 7.615
_cell_length_b 4.361
_cell_length_c 7.790
_cell_angle_alpha 90.00
_cell_angle_beta 117.42
_cell_angle_gamma 90.00
_symmetry_space_group_name_H-M 'P 1'
_symmetry_Int_Tables_number 1
_symmetry_space_group_name_Hall 'P 1'
loop_
_atom_site_label
_atom_site_type_symbol
_atom_site_fract_x
_atom_site_fract_y
_atom_site_fract_z
U1 U 0.162 0.250 0.335
U2 U 0.838 0.750 0.665
Br1 Br 0.123 0.250 0.912
Br2 Br 0.423 0.750 0.297
Br3 Br 0.577 0.250 0.703
Br4 Br 0.877 0.750 0.088
Cl1 Cl 0.183 0.750 0.589
Cl2 Cl 0.817 0.250 0.411
# M_tot: 6.0 Bohr magnetons per cell



Version 2
# UBr2Cl, relaxed, DFT PBE
data_UBr2Cl
_chemical_formula_sum 'U2 Br4 Cl2'
_cell_length_a 3.942
_cell_length_b 9.127
_cell_length_c 7.225
_cell_angle_alpha 90.00
_cell_angle_beta 105.67
_cell_angle_gamma 90.00
_symmetry_space_group_name_H-M 'P 1'
_symmetry_Int_Tables_number 1
_symmetry_space_group_name_Hall 'P 1'
loop_
_atom_site_label
_atom_site_type_symbol
_atom_site_fract_x
_atom_site_fract_y
_atom_site_fract_z
U1 U 0.239 0.250 0.478
U2 U 0.761 0.750 0.522
Br1 Br 0.149 0.564 0.299
Br2 Br 0.149 0.936 0.299
Br3 Br 0.851 0.064 0.701
Br4 Br 0.851 0.436 0.701
Cl1 Cl 0.397 0.750 0.793
Cl2 Cl 0.603 0.250 0.207
# M_tot: 6.0 Bohr magnetons per cell



The structure with the most favorable energy is version 2; the runner-up is 0.034 eV/atom above it.